Below is a relaxed Nd2YErS5 crystal, with properties calculated at the PBE level.

Cell lengths 4.8532, 4.8532, 10.2424 Å; angles 90.00, 90.00, 90.00 degrees
Last column: nearest neighbours and their distance in Å.
Fractional coordinates of all 9 atoms:
Nd  0.5000  0.5000  0.2960  5 S 3.03-3.20
Nd  0.5000  0.5000  0.7040  5 S 3.03-3.20
Y  0.0000  0.0000  0.0000  2 S 2.51
Er  0.0000  0.0000  0.5000  6 S 2.43-2.61
S  0.0000  0.5000  0.5000  2 Er 2.43
S  0.5000  0.0000  0.5000  2 Er 2.43
S  0.0000  0.0000  0.7545  1 Y 2.51, 1 Er 2.61
S  0.0000  0.0000  0.2455  1 Y 2.51, 1 Er 2.61
S  0.5000  0.5000  0.0000  2 Nd 3.03

- DOS at the Fermi energy (states/eV per cell) = 5.3
- E_tot (eV/atom) = -6.059
- theoretical density (Mg/m³) = 4.853

---

Below is a relaxed Na8B13C3 crystal, with properties calculated at the PBE level.

Cell lengths 2.8046, 5.3176, 17.3530 Å; angles 90.00, 90.00, 90.00 degrees
Last column: nearest neighbours and their distance in Å.
Fractional coordinates of all 24 atoms:
Na  0.0000  0.9986  0.4996  10 B 2.70-2.87, 2 C 2.74, 6 Na 2.80-3.02
Na  0.0000  0.9986  0.2504  10 B 2.70-2.87, 2 C 2.74, 6 Na 2.80-3.02
Na  0.5000  0.5005  0.5004  11 B 2.71-2.92, 6 Na 2.80-3.02, 1 C 2.82
Na  0.5000  0.5005  0.2496  11 B 2.71-2.92, 6 Na 2.80-3.02, 1 C 2.82
Na  0.0000  0.9980  0.9990  9 B 2.69-2.90, 3 C 2.72-2.80, 4 Na 2.80-2.99
Na  0.0000  0.9980  0.7510  9 B 2.69-2.90, 3 C 2.72-2.80, 4 Na 2.80-2.99
Na  0.5000  0.5020  0.0004  9 B 2.69-2.91, 3 C 2.72-2.80, 4 Na 2.80-2.99
Na  0.5000  0.5020  0.7496  9 B 2.69-2.91, 3 C 2.72-2.80, 4 Na 2.80-2.99
C  0.5000  0.8383  0.1242  3 B 1.58-1.63
C  0.0000  0.6614  0.8750  3 B 1.58-1.63
C  0.5000  0.8383  0.6258  3 B 1.58-1.63
B  0.5000  0.1549  0.3750  3 B 1.65-1.72
B  0.0000  0.3496  0.1245  3 B 1.77-1.81
B  0.5000  0.1345  0.1244  1 C 1.58
B  0.0000  0.3436  0.3750  3 B 1.66-1.72
B  0.0000  0.6557  0.3750  3 B 1.66-1.72
B  0.0000  0.6818  0.1244  2 C 1.63, 1 B 1.77
B  0.5000  0.8444  0.3750  3 B 1.65-1.72
B  0.5000  0.1496  0.8750  3 B 1.76-1.81
B  0.0000  0.3496  0.6255  3 B 1.77-1.81
B  0.5000  0.1345  0.6256  1 C 1.58
B  0.0000  0.3651  0.8750  1 C 1.58
B  0.0000  0.6818  0.6256  2 C 1.63, 1 B 1.77
B  0.5000  0.8187  0.8750  2 C 1.63, 1 B 1.76

- energy relative to the elements (kJ/mol of formula units) = 434
- DOS at the Fermi energy (states/eV per cell) = 3.6
- theoretical density (Mg/m³) = 2.313
- E above lowest polymorph (meV per atom) = 6

---

Below is a relaxed CsScAgF6 crystal, with properties calculated at the PBE level.

Cell lengths 5.8338, 5.9746, 6.2902 Å; angles 90.74, 90.46, 59.47 degrees
Last column: nearest neighbours and their distance in Å.
Fractional coordinates of all 9 atoms:
Cs  0.0182  0.9912  0.0004  6 F 2.98-3.04
Sc  0.3457  0.3270  0.5000  6 F 1.97-2.11
Ag  0.6769  0.6624  0.5002  4 F 2.15-2.18
F  0.0152  0.3786  0.3202  1 Sc 2.11, 1 Ag 2.15
F  0.3755  0.0124  0.6629  1 Sc 2.08, 1 Ag 2.18
F  0.5905  0.3498  0.7047  1 Sc 1.97
F  0.0183  0.6044  0.6809  1 Sc 2.11, 1 Ag 2.16
F  0.3740  0.6127  0.3373  1 Sc 2.08, 1 Ag 2.18
F  0.5856  0.0616  0.2934  1 Sc 1.97

- theoretical density (Mg/m³) = 3.515
- E above lowest polymorph (meV per atom) = 16

---

Below is a relaxed HfTeNO2 crystal, with properties calculated at the PBE level.

Cell lengths 4.0361, 4.0361, 4.4417 Å; angles 90.00, 90.00, 90.00 degrees
Last column: nearest neighbours and their distance in Å.
Fractional coordinates of all 5 atoms:
Te  0.5000  0.5000  0.5000  4 N 2.85, 8 O 3.00
Hf  0.0000  0.0000  0.0000  4 O 2.02, 2 N 2.22
O  0.0000  0.5000  0.0000  2 Hf 2.02
O  0.5000  0.0000  0.0000  2 Hf 2.02
N  0.0000  0.0000  0.5000  2 Hf 2.22

- DOS at the Fermi energy (states/eV per cell) = 1.4
- E_tot (eV/atom) = -7.343
- theoretical density (Mg/m³) = 8.081